(1)
This record from Alexandria via LeMat-Bulk describes a relaxed Ba2Cd3BiAu12 crystal. The functional is PBE.

Cell lengths 8.9285, 8.9285, 8.9285 Å; angles 62.15, 62.15, 62.15 degrees
Last column: nearest neighbours and their distance in Å.
Fractional coordinates of all 18 atoms:
Au  0.9949  0.3581  0.3581  2 Au 2.74, 2 Cd 2.82
Au  0.8675  0.3659  0.8675  4 Au 2.74-3.02, 1 Bi 2.75, 1 Cd 2.86
Au  0.6341  0.1325  0.1325  4 Au 2.74-3.02, 1 Bi 2.75, 1 Cd 2.86
Au  0.3581  0.3581  0.9949  2 Au 2.74, 2 Cd 2.82
Au  0.6419  0.6419  0.0051  2 Au 2.74, 2 Cd 2.82
Cd  0.0000  0.0000  0.5000  6 Au 2.82-2.86
Au  0.6419  0.0051  0.6419  2 Au 2.74, 2 Cd 2.82
Cd  0.5000  0.0000  0.0000  6 Au 2.82-2.86
Ba  0.3912  0.3912  0.3912  6 Au 3.32-3.49
Au  0.0051  0.6419  0.6419  2 Au 2.74, 2 Cd 2.82
Cd  0.0000  0.5000  0.0000  6 Au 2.82-2.86
Au  0.8675  0.8675  0.3659  4 Au 2.74-3.02, 1 Bi 2.75, 1 Cd 2.86
Bi  0.0000  0.0000  0.0000  6 Au 2.75
Au  0.1325  0.1325  0.6341  4 Au 2.74-3.02, 1 Bi 2.75, 1 Cd 2.86
Au  0.1325  0.6341  0.1325  4 Au 2.74-3.02, 1 Bi 2.75, 1 Cd 2.86
Au  0.3581  0.9949  0.3581  2 Au 2.74, 2 Cd 2.82
Au  0.3659  0.8675  0.8675  4 Au 2.74-3.02, 1 Bi 2.75, 1 Cd 2.86
Ba  0.6088  0.6088  0.6088  6 Au 3.32-3.49

Results
ΔH_f (0 K)	-0.076	eV/atom
energy	-2.843	eV/atom



(2)
This record from Alexandria via LeMat-Bulk describes a relaxed Ac2P3Rh5 crystal. The functional is PBE.

Cell lengths 5.9106, 8.5679, 8.5679 Å; angles 68.61, 69.82, 69.82 degrees
Last column: nearest neighbours and their distance in Å.
Fractional coordinates of all 20 atoms:
Rh  0.4649  0.2851  0.2851  2 P 2.37
P  0.6131  0.5228  0.2510  5 Rh 2.37-2.45
Ac  0.8685  0.3670  0.8960  10 Rh 3.14-3.40, 6 P 3.20-3.42
Rh  0.8826  0.0015  0.2334  3 P 2.39-2.40
Rh  0.9649  0.2851  0.2851  2 P 2.37
Ac  0.3685  0.8960  0.3670  10 Rh 3.14-3.40, 6 P 3.20-3.42
Rh  0.6174  0.7666  0.9985  3 P 2.39-2.40
Rh  0.0351  0.7149  0.7149  2 P 2.37
Rh  0.7500  0.5000  0.5000  4 P 2.45
Ac  0.6315  0.1040  0.6330  10 Rh 3.14-3.40, 6 P 3.20-3.42
P  0.3869  0.4772  0.7490  5 Rh 2.37-2.45
Rh  0.5351  0.7149  0.7149  2 P 2.37
Rh  0.2500  0.5000  0.5000  4 P 2.45
P  0.7500  0.0000  0.0000  4 Rh 2.39
Rh  0.3826  0.2334  0.0015  3 P 2.39-2.40
P  0.1131  0.2510  0.5228  5 Rh 2.37-2.45
P  0.2500  0.0000  0.0000  4 Rh 2.39
P  0.8869  0.7490  0.4772  5 Rh 2.37-2.45
Ac  0.1315  0.6330  0.1040  10 Rh 3.14-3.40, 6 P 3.20-3.42
Rh  0.1174  0.9985  0.7666  3 P 2.39-2.40

Results
ΔH_f (0 K)	-0.946	eV/atom
energy	-7.067	eV/atom



(3)
This record from Alexandria via LeMat-Bulk describes a relaxed Hf2Ti2Pb crystal. The functional is PBE.

Cell lengths 7.2827, 7.2827, 3.9397 Å; angles 90.00, 90.00, 90.00 degrees
Last column: nearest neighbours and their distance in Å.
Fractional coordinates of all 10 atoms:
Hf  0.6641  0.8359  0.5000  6 Ti 2.90-2.92
Ti  0.6291  0.1291  0.0000  1 Ti 2.66, 2 Pb 2.86, 6 Hf 2.90-2.92
Pb  0.0000  0.0000  0.0000  4 Ti 2.86
Pb  0.5000  0.5000  0.0000  4 Ti 2.86
Ti  0.8709  0.6291  0.0000  1 Ti 2.66, 2 Pb 2.86, 6 Hf 2.90-2.92
Ti  0.3709  0.8709  0.0000  1 Ti 2.66, 2 Pb 2.86, 6 Hf 2.90-2.92
Hf  0.8359  0.3359  0.5000  6 Ti 2.90-2.92
Hf  0.1641  0.6641  0.5000  6 Ti 2.90-2.92
Ti  0.1291  0.3709  0.0000  1 Ti 2.66, 2 Pb 2.86, 6 Hf 2.90-2.92
Hf  0.3359  0.1641  0.5000  6 Ti 2.90-2.92

Results
ΔH_f (0 K)	0.052	eV/atom
energy	-7.829	eV/atom
E above lowest polymorph	0	meV per atom



(4)
This record from Alexandria via LeMat-Bulk describes a relaxed ScTi3Te crystal. The functional is PBE.

Cell lengths 4.9871, 4.9871, 4.9871 Å; angles 90.00, 90.00, 90.00 degrees
Last column: nearest neighbours and their distance in Å.
Fractional coordinates of all 5 atoms:
Ti  0.0000  0.5000  0.0000  2 Te 2.49
Ti  0.0000  0.0000  0.5000  2 Te 2.49
Te  0.0000  0.0000  0.0000  6 Ti 2.49
Sc  0.5000  0.5000  0.5000  12 Ti 3.53
Ti  0.5000  0.0000  0.0000  2 Te 2.49

Results
energy	-6.099	eV/atom
E above lowest polymorph	0	meV per atom



(5)
This record from Alexandria via LeMat-Bulk describes a relaxed BaZnPtO crystal. The functional is PBE.

Cell lengths 4.1160, 4.1160, 9.3369 Å; angles 90.00, 90.00, 90.00 degrees
Last column: nearest neighbours and their distance in Å.
Fractional coordinates of all 8 atoms:
Pt  0.5000  0.5000  0.5000  4 Zn 2.54
O  0.5000  0.0000  0.8723  1 Zn 1.98
Ba  0.0000  0.5000  0.8443  5 O 2.65-2.92
Pt  0.0000  0.0000  0.5000  4 Zn 2.54
Zn  0.0000  0.5000  0.3399  1 O 1.98
O  0.0000  0.5000  0.1277  1 Zn 1.98
Zn  0.5000  0.0000  0.6601  1 O 1.98
Ba  0.5000  0.0000  0.1557  5 O 2.65-2.92

Results
energy	-4.946	eV/atom



(6)
This record from Alexandria via LeMat-Bulk describes a relaxed Li2TiCuF crystal. The functional is PBE.

Cell lengths 4.9450, 3.8109, 4.9450 Å; angles 90.00, 90.00, 90.00 degrees
Last column: nearest neighbours and their distance in Å.
Fractional coordinates of all 5 atoms:
Cu  0.0000  0.0000  0.0000  2 F 1.91
Li  0.5000  0.0000  0.0000  2 Cu 2.47
Li  0.0000  0.0000  0.5000  2 Cu 2.47
F  0.0000  0.5000  0.0000  2 Cu 1.91
Ti  0.5000  0.5000  0.5000  8 Li 3.12

Results
energy	-3.380	eV/atom
E above lowest polymorph	721	meV per atom